# 1
The following is a DFT calculation (GGA-PBEsol) of a geometry-optimized Ca2LaAlCr structure.

Its total magnetization is 3.88 μB per cell. For the formation energy, the calculation gives 3.00 eV/f.u. The density of states at the Fermi level comes out at 1.12 states/eV per atom.

The space group is P4/mmm (No. 123) and the conventional cell measures 5.649, 5.649 and 4.965 Å, with angles of 90.00, 90.00 and 90.00 degrees. The asymmetric unit holds Ca at (0.000, 0.500, 0.000), La at (0.000, 0.000, 0.500), Al at (0.500, 0.500, 0.000) and Cr at (0.500, 0.500, 0.500).

# 2
The following is a DFT calculation (GGA-PBEsol) of a geometry-optimized Ca4Al6CrO16 structure.

Its total magnetization is 0.00 μB per cell. The density of states at the Fermi level comes out at 0.00 states/eV per atom. As for the electronic total energy: -7.61 eV per atom.

The space group is I-4 (No. 82) and the conventional cell measures 9.243, 9.243 and 9.407 Å, with angles of 90.00, 90.00 and 90.00 degrees. The asymmetric unit holds Ca at (0.207, 0.262, 0.025), Al at (0.000, 0.000, 0.000), Al at (0.000, 0.000, 0.500), Al at (0.014, 0.248, 0.745), Cr at (0.000, 0.500, 0.250), O at (0.017, 0.355, 0.149), O at (0.025, 0.841, 0.905), O at (0.070, 0.149, 0.596) and O at (0.149, 0.665, 0.702).

# 3
The following is a DFT calculation (GGA-PBEsol) of a geometry-optimized CsCaTaAl2 structure.

Its total magnetization is 2.61 μB per cell. For the formation energy, the calculation gives 9.98 eV/f.u. The density of states at the Fermi level comes out at 1.50 states/eV per atom.

The space group is P4/mmm (No. 123) and the conventional cell measures 5.415, 5.415 and 5.609 Å, with angles of 90.00, 90.00 and 90.00 degrees. The asymmetric unit holds Cs at (0.000, 0.000, 0.000), Ca at (0.000, 0.000, 0.500), Ta at (0.500, 0.500, 0.000) and Al at (0.000, 0.500, 0.500).

# 4
The following is a DFT calculation (GGA-PBEsol) of a geometry-optimized CaAl2Cu structure.

Its total magnetization is 0.00 μB per cell. For the formation energy, the calculation gives -0.36 eV/f.u. The density of states at the Fermi level comes out at 0.25 states/eV per atom.

The space group is F-43m (No. 216) and the conventional cell measures 6.547, 6.547 and 6.547 Å, with angles of 90.00, 90.00 and 90.00 degrees. The asymmetric unit holds Ca at (0.000, 0.000, 0.000), Al at (0.000, 0.000, 0.500), Al at (0.250, 0.250, 0.250) and Cu at (0.250, 0.250, 0.750).

# 5
The following is a DFT calculation (GGA-PBEsol) of a geometry-optimized CaAl2Cu structure.

Its total magnetization is 0.00 μB per cell. For the formation energy, the calculation gives 0.48 eV/f.u. The density of states at the Fermi level comes out at 0.51 states/eV per atom.

The space group is I-42d (No. 122) and the conventional cell measures 4.823, 4.823 and 16.498 Å, with angles of 90.00, 90.00 and 90.00 degrees. The asymmetric unit holds Ca at (0.000, 0.000, 0.000), Al at (0.048, 0.250, 0.625) and Cu at (0.000, 0.000, 0.500).

# 6
The following is a DFT calculation (GGA-PBEsol) of a geometry-optimized CaAl8Cu4 structure.

Its total magnetization is 0.00 μB per cell. For the formation energy, the calculation gives -3.52 eV/f.u. The density of states at the Fermi level comes out at 0.21 states/eV per atom.

The space group is I4/mmm (No. 139) and the conventional cell measures 8.750, 8.750 and 5.096 Å, with angles of 90.00, 90.00 and 90.00 degrees. The asymmetric unit holds Ca at (0.000, 0.000, 0.000), Al at (0.000, 0.220, 0.500), Al at (0.000, 0.347, 0.000) and Cu at (0.250, 0.250, 0.250).

# 7
The following is a DFT calculation (GGA-PBEsol) of a geometry-optimized CaAl2Cu structure.

Its total magnetization is 0.00 μB per cell. For the formation energy, the calculation gives -0.95 eV/f.u. The density of states at the Fermi level comes out at 0.37 states/eV per atom.

The space group is Cm (No. 8) and the conventional cell measures 7.266, 4.208 and 5.860 Å, with angles of 90.00, 114.36 and 90.00 degrees. The asymmetric unit holds Ca at (0.000, 0.000, 0.000), Al at (0.036, 0.500, 0.610), Al at (0.297, 0.500, 0.392) and Cu at (0.187, 0.000, 0.563).

# 8
The following is a DFT calculation (GGA-PBEsol) of a geometry-optimized CaAl2Cu2 structure.

Its total magnetization is 0.00 μB per cell. For the formation energy, the calculation gives -0.98 eV/f.u. The density of states at the Fermi level comes out at 0.46 states/eV per atom.

The space group is I4/mmm (No. 139) and the conventional cell measures 4.283, 4.283 and 9.756 Å, with angles of 90.00, 90.00 and 90.00 degrees. The asymmetric unit holds Ca at (0.000, 0.000, 0.000), Al at (0.000, 0.000, 0.365) and Cu at (0.000, 0.500, 0.250).

# 9
The following is a DFT calculation (GGA-PBEsol) of a geometry-optimized CaAlCuSi2 structure.

Its total magnetization is 0.00 μB per cell. The density of states at the Fermi level comes out at 0.47 states/eV per atom. As for the electronic total energy: -4.06 eV per atom.

The space group is P4/mmm (No. 123) and the conventional cell measures 4.779, 4.779 and 4.523 Å, with angles of 90.00, 90.00 and 90.00 degrees. The asymmetric unit holds Ca at (0.000, 0.000, 0.000), Al at (0.500, 0.500, 0.500), Cu at (0.500, 0.500, 0.000) and Si at (0.000, 0.500, 0.500).

# 10
The following is a DFT calculation (GGA-PBEsol) of a geometry-optimized CaDyAl4 structure.

Its total magnetization is 0.00 μB per cell. For the formation energy, the calculation gives -2.48 eV/f.u. The density of states at the Fermi level comes out at 0.50 states/eV per atom.

The space group is F-43m (No. 216) and the conventional cell measures 7.855, 7.855 and 7.855 Å, with angles of 90.00, 90.00 and 90.00 degrees. The asymmetric unit holds Ca at (0.000, 0.000, 0.000), Dy at (0.250, 0.250, 0.250) and Al at (0.125, 0.125, 0.625).

# 11
The following is a DFT calculation (GGA-PBEsol) of a geometry-optimized CaAlF5 structure.

Its total magnetization is 0.00 μB per cell. The calculation puts the energy above the most stable polymorph in this dataset at 3 meV/atom. The density of states at the Fermi level comes out at 0.00 states/eV per atom.

The space group is P2_1/c (No. 14) and the conventional cell measures 5.334, 9.830 and 7.317 Å, with angles of 90.00, 109.84 and 90.00 degrees. The asymmetric unit holds Ca at (0.029, 0.020, 0.255), Al at (0.395, 0.247, 0.599), F at (0.119, 0.125, 0.556), F at (0.149, 0.118, 0.009), F at (0.342, 0.637, 0.361), F at (0.362, 0.212, 0.340) and F at (0.385, 0.609, 0.816).

# 12
The following is a DFT calculation (GGA-PBEsol) of a geometry-optimized CaAl2F8 structure.

Its total magnetization is 0.00 μB per cell. The density of states at the Fermi level comes out at 0.00 states/eV per atom. As for the electronic total energy: -5.97 eV per atom.

The space group is C2/c (No. 15) and the conventional cell measures 6.715, 10.790 and 7.484 Å, with angles of 90.00, 91.55 and 90.00 degrees. The asymmetric unit holds Ca at (0.000, 0.034, 0.250), Al at (0.000, 0.372, 0.250), Al at (0.250, 0.250, 0.000), F at (0.036, 0.352, 0.010), F at (0.079, 0.121, 0.968), F at (0.192, 0.238, 0.242) and F at (0.193, 0.476, 0.285).

Calculated values (Å³ per atom) of volume for the records, taken in order: 31.69, 14.88, 32.89, 17.54, 23.99, 15.01, 20.40, 17.90, 20.66, 20.20, 12.89, 12.32.